LiScCd4 at its PBEsol-relaxed geometry, computed with meta-GGA SCAN.

Computed properties:
- D(E_F): 2.34 states/eV/f.u.
- Total magnetization: 0.00 μB per formula unit
- Mass density: 6.54 g cm⁻³
- Space group: No. 216
- Energy of formation: -0.177 eV per atom

a = 5.647 Å, b = 5.647 Å, c = 5.647 Å
α = 60.00°, β = 60.00°, γ = 60.00°
Sites, in units of the cell vectors:
Cd1 0.375 0.375 0.375
Cd2 0.375 0.375 0.875
Cd3 0.875 0.375 0.375
Cd4 0.375 0.875 0.375
Li1 0.750 0.750 0.750
Sc1 0.000 0.000 0.000